[1]
Mn2CdFeH after structural relaxation. Source: Alexandria, functional PBE.

Calculated values
Size of the total moment ... 2.0 μB/f.u.
ΔE to the lowest computed polymorph ... 0.0649 eV per atom
DFT total energy ... -5.98 eV per atom

abc: 2.7084 2.7084 8.8393
angles: 90.00 90.00 120.00
With the nearest neighbours (Å) after each atom.
Space group P3m1 (No. 156)
Inequivalent atoms, fractional coordinates:
Mn  0.0000  0.0000  0.0000 (multiplicity 1)  9 Mn 2.44-2.71
Mn  0.3333  0.6667  0.2124 (multiplicity 1)  3 H 1.93
Cd  0.6667  0.3333  0.7226 (multiplicity 1)  6 Cd 2.71, 3 Fe 2.85, 3 Mn 2.91
Fe  0.0000  0.0000  0.4530 (multiplicity 1)  3 H 1.85
H  0.6667  0.3333  0.3407 (multiplicity 1)  3 Fe 1.85, 3 Mn 1.93

=====

[2]
BeCdTc after structural relaxation. Source: Alexandria, functional PBE.

Calculated values
Size of the total moment ... 0.0 μB/f.u.
ΔE to the lowest computed polymorph ... 0.0000 eV per atom
DFT total energy ... -4.68 eV per atom
E_form ... 0.98 eV/f.u.

abc: 2.9472 2.9472 10.0457
angles: 90.00 90.00 90.00
With the nearest neighbours (Å) after each atom.
Space group I4mm (No. 107)
Inequivalent atoms, fractional coordinates:
Be  0.0000  0.0000  0.0000 (multiplicity 2)  4 Tc 2.36
Cd  0.0000  0.0000  0.3152 (multiplicity 2)  4 Be 2.79, 5 Tc 2.93-2.96, 4 Cd 2.95
Tc  0.0000  0.0000  0.6098 (multiplicity 2)  4 Be 2.36

=====

What is the DFT total energy in the first record? -5.98 eV per atom

=====

Among the records above, which one has the lowest size of the total moment? BeCdTc

=====

The lowest size of the total moment belongs to which entry? BeCdTc

=====

size of the total moment of number 1 (Mn2CdFeH)? 2.0 μB/f.u.